{
  "formula": "Tc4Ni5",
  "functional": "PBE",
  "state": "relaxed",
  "lattice": [[-3.540, -5.626, 2.758], [3.531, -6.087, 1.505], [0.947, 1.715, 4.713]],
  "species": ["Tc", "Tc", "Ni", "Ni", "Ni", "Ni", "Tc", "Ni", "Ni", "Ni", "Tc", "Ni", "Tc", "Tc", "Ni", "Ni", "Tc", "Tc"],
  "frac_coords": [[0.339, 0.661, 0.750], [0.000, 0.000, 0.500], [0.333, 0.333, 0.500], [0.667, 0.667, 0.000], [0.671, 0.329, 0.750], [0.671, 0.000, 0.250], [0.661, 0.000, 0.750], [0.000, 0.671, 0.750], [0.000, 0.329, 0.250], [0.667, 0.667, 0.500], [0.000, 0.339, 0.750], [0.329, 0.000, 0.750], [0.000, 0.661, 0.250], [0.339, 0.000, 0.250], [0.333, 0.333, 0.000], [0.329, 0.671, 0.250], [0.661, 0.339, 0.250], [0.000, 0.000, 0.000]],
  "sg": "P6_3/mcm, No. 193",
  "magmom_total_mub_per_cell": 0.00,
  "ef_ev_per_atom": 0.21,
  "e_tot_ev_per_cell": -136.9
}